1.
{
  "formula": "IrOs2W",
  "functional": "PBE",
  "state": "optimized geometry",
  "e_above_lowest_polymorph_mev_per_atom": 1411,
  "spacegroup": "No. 122",
  "energy_ev_per_cell": -78.25,
  "lattice": [[-4.8225, 2.5127, 0.7835], [-0.1718, -1.9325, 5.1400], [0.3196, 5.1025, 4.8653]],
  "species": ["Ir", "Ir", "Os", "Os", "Os", "Os", "W", "W"],
  "frac_coords": [[0.0000, 0.0000, 0.0000], [0.7500, 0.2500, 0.5000], [0.6347, 0.1250, 0.2500], [0.1153, 0.6250, 0.2500], [0.3750, 0.3653, 0.7500], [0.8750, 0.8847, 0.7500], [0.5000, 0.5000, 0.0000], [0.2500, 0.7500, 0.5000]]
}

2.
{
  "formula": "CrCo6Ge",
  "functional": "PBE",
  "state": "optimized geometry",
  "spacegroup": "No. 65",
  "energy_ev_per_cell": -228.47,
  "lattice": [[-2.1515, 4.0865, 3.9412], [4.2264, -3.4134, 2.7106], [7.0268, 6.4422, -2.8438]],
  "species": ["Cr", "Cr", "Cr", "Cr", "Co", "Co", "Co", "Co", "Co", "Co", "Co", "Co", "Co", "Co", "Co", "Co", "Co", "Co", "Co", "Co", "Co", "Co", "Co", "Co", "Co", "Co", "Co", "Co", "Ge", "Ge", "Ge", "Ge"],
  "frac_coords": [[0.7548, 0.2452, 0.5000], [0.2452, 0.7548, 0.5000], [0.0000, 0.0000, 0.7528], [0.0000, 0.0000, 0.2472], [0.7530, 0.2470, 0.7438], [0.1218, 0.3682, 0.8715], [0.8782, 0.6318, 0.8715], [0.2470, 0.7530, 0.7438], [0.6318, 0.8782, 0.8715], [0.3682, 0.1218, 0.8715], [0.5000, 0.5000, 0.5000], [0.8807, 0.6272, 0.6217], [0.6272, 0.8807, 0.6217], [0.7530, 0.2470, 0.2562], [0.1193, 0.3728, 0.3783], [0.8807, 0.6272, 0.3783], [0.2470, 0.7530, 0.2562], [0.6272, 0.8807, 0.3783], [0.3728, 0.1193, 0.3783], [0.5000, 0.5000, 0.0000], [0.8782, 0.6318, 0.1285], [0.6318, 0.8782, 0.1285], [0.0000, 0.0000, 0.5000], [0.3728, 0.1193, 0.6217], [0.1193, 0.3728, 0.6217], [0.0000, 0.0000, 0.0000], [0.3682, 0.1218, 0.1285], [0.1218, 0.3682, 0.1285], [0.7511, 0.2489, 0.0000], [0.2489, 0.7511, 0.0000], [0.5000, 0.5000, 0.7501], [0.5000, 0.5000, 0.2499]]
}

3.
{
  "formula": "KBa2NaAs",
  "functional": "PBE",
  "state": "optimized geometry",
  "e_above_lowest_polymorph_mev_per_atom": 0,
  "spacegroup": "No. 123",
  "energy_ev_per_cell": -12.92,
  "lattice": [[-1.5649, -2.8707, 5.5684], [0.3240, -5.7689, -2.8830], [6.3544, -0.4259, 1.5663]],
  "species": ["K", "Na", "As", "Ba", "Ba"],
  "frac_coords": [[0.0000, 0.0000, 0.5000], [0.5000, 0.5000, 0.5000], [0.0000, 0.0000, 0.0000], [0.0000, 0.5000, 0.0000], [0.5000, 0.0000, 0.0000]]
}

4.
{
  "formula": "HoSiP",
  "functional": "PBE",
  "state": "optimized geometry",
  "formation_energy_uncorrected_ev_per_atom": -0.482,
  "spacegroup": "No. 139",
  "energy_ev_per_cell": -33.71,
  "lattice": [[-3.2926, 0.9704, -1.6447], [-0.2773, -3.4865, -1.5018], [-2.8524, -1.6365, 9.1493]],
  "species": ["Si", "Si", "Ho", "Ho", "P", "P"],
  "frac_coords": [[0.0704, 0.0704, 0.1408], [0.9296, 0.9296, 0.8592], [0.6519, 0.6519, 0.3039], [0.3481, 0.3481, 0.6961], [0.8072, 0.8072, 0.6143], [0.1928, 0.1928, 0.3857]]
}